Record 1
DFT (GGA-PBE) results for a relaxed Dy2ScTl crystal.

a b c (Å): 3.3464 25.4995 5.5008
angles (deg): 90.00 90.00 90.00
Closest atoms and distances in Å follow each position.
Sites, in units of the cell vectors:
Dy 0.0000 0.0908 0.2500  3 Sc 3.10-3.15, 2 Tl 3.26, 2 Dy 3.35
Dy 0.0000 0.1758 0.7500  5 Tl 3.15-3.28, 4 Dy 3.35-3.50
Dy 0.0000 0.8242 0.2500  5 Tl 3.15-3.28, 4 Dy 3.35-3.50
Dy 0.0000 0.9092 0.7500  3 Sc 3.10-3.15, 2 Tl 3.26, 2 Dy 3.35
Dy 0.5000 0.3242 0.2500  5 Tl 3.15-3.28, 4 Dy 3.35-3.50
Dy 0.5000 0.4092 0.7500  3 Sc 3.10-3.15, 2 Tl 3.26, 2 Dy 3.35
Dy 0.5000 0.5908 0.2500  3 Sc 3.10-3.15, 2 Tl 3.26, 2 Dy 3.35
Dy 0.5000 0.6758 0.7500  5 Tl 3.15-3.28, 4 Dy 3.35-3.50
Sc 0.0000 0.0308 0.7500  3 Dy 3.10-3.15, 4 Sc 3.17-3.35
Sc 0.0000 0.9692 0.2500  3 Dy 3.10-3.15, 4 Sc 3.17-3.35
Sc 0.5000 0.4692 0.2500  3 Dy 3.10-3.15, 4 Sc 3.17-3.35
Sc 0.5000 0.5308 0.7500  3 Dy 3.10-3.15, 4 Sc 3.17-3.35
Tl 0.0000 0.2995 0.7500  7 Dy 3.15-3.28, 2 Tl 3.35
Tl 0.0000 0.7005 0.2500  7 Dy 3.15-3.28, 2 Tl 3.35
Tl 0.5000 0.2005 0.2500  7 Dy 3.15-3.28, 2 Tl 3.35
Tl 0.5000 0.7995 0.7500  7 Dy 3.15-3.28, 2 Tl 3.35

Results
Space-group type   Cmcm, No. 63
Raw total energy   -4.287 eV per atom
ΔE to the lowest computed polymorph   36.0 kJ per mole of atoms
Total magnetic moment   0.00 μB/f.u.
DOS(E_F)   1.41 states/eV/atom

=====

Record 2
DFT (GGA-PBE) results for a relaxed Dy9ScTl2 crystal.

a b c (Å): 4.8452 4.8452 14.8057
angles (deg): 90.00 90.00 90.00
Closest atoms and distances in Å follow each position.
Sites, in units of the cell vectors:
Dy 0.0000 0.0000 0.0000  4 Sc 3.43, 8 Dy 3.46
Dy 0.0000 0.0000 0.3341  4 Tl 3.43, 8 Dy 3.45-3.46
Dy 0.0000 0.0000 0.6659  4 Tl 3.43, 8 Dy 3.45-3.46
Dy 0.0000 0.5000 0.1672  8 Dy 3.43-3.46, 2 Sc 3.46, 2 Tl 3.51
Dy 0.0000 0.5000 0.5000  4 Tl 3.41, 8 Dy 3.43-3.45
Dy 0.0000 0.5000 0.8328  8 Dy 3.43-3.46, 2 Sc 3.46, 2 Tl 3.51
Dy 0.5000 0.0000 0.1672  8 Dy 3.43-3.46, 2 Sc 3.46, 2 Tl 3.51
Dy 0.5000 0.0000 0.5000  4 Tl 3.41, 8 Dy 3.43-3.45
Dy 0.5000 0.0000 0.8328  8 Dy 3.43-3.46, 2 Sc 3.46, 2 Tl 3.51
Sc 0.5000 0.5000 0.0000  12 Dy 3.43-3.46
Tl 0.5000 0.5000 0.3383  12 Dy 3.41-3.51
Tl 0.5000 0.5000 0.6617  12 Dy 3.41-3.51

Results
Space-group type   P4/mmm, No. 123
Raw total energy   -4.484 eV per atom
Total magnetic moment   0.00 μB/f.u.
DOS(E_F)   1.22 states/eV/atom

=====

Record 3
DFT (GGA-PBE) results for a relaxed DyScTl2 crystal.

a b c (Å): 4.8777 4.8777 4.2678
angles (deg): 90.00 90.00 90.00
Closest atoms and distances in Å follow each position.
Sites, in units of the cell vectors:
Dy 0.0000 0.0000 0.0000  8 Tl 3.24, 4 Sc 3.45
Sc 0.5000 0.5000 0.0000  8 Tl 3.24, 4 Dy 3.45
Tl 0.0000 0.5000 0.5000  4 Dy 3.24, 4 Sc 3.24, 4 Tl 3.45
Tl 0.5000 0.0000 0.5000  4 Dy 3.24, 4 Sc 3.24, 4 Tl 3.45

Results
Space-group type   P4/mmm, No. 123
Raw total energy   -4.200 eV per atom
Total magnetic moment   0.65 μB/f.u.
DOS(E_F)   0.81 states/eV/atom

=====

Record 4
DFT (GGA-PBE) results for a relaxed Dy2Sc3Tl4 crystal.

a b c (Å): 5.0723 5.0723 10.3095
angles (deg): 90.00 90.00 120.00
Closest atoms and distances in Å follow each position.
Sites, in units of the cell vectors:
Dy 0.3333 0.6667 0.2751  7 Tl 3.18-3.39, 1 Sc 3.52
Dy 0.6667 0.3333 0.7249  7 Tl 3.18-3.39, 1 Sc 3.52
Sc 0.0000 0.0000 0.5000  6 Tl 3.12
Sc 0.3333 0.6667 0.9333  4 Tl 3.06-3.40, 3 Sc 3.24
Sc 0.6667 0.3333 0.0667  4 Tl 3.06-3.40, 3 Sc 3.24
Tl 0.0000 0.0000 0.1513  3 Sc 3.06, 1 Tl 3.12, 3 Dy 3.19
Tl 0.0000 0.0000 0.8487  3 Sc 3.06, 1 Tl 3.12, 3 Dy 3.19
Tl 0.3333 0.6667 0.6037  4 Sc 3.12-3.40, 4 Dy 3.18-3.39
Tl 0.6667 0.3333 0.3963  4 Sc 3.12-3.40, 4 Dy 3.18-3.39

Results
Space-group type   P-3m1, No. 164
Raw total energy   -4.447 eV per atom
ΔE to the lowest computed polymorph   0.0 kJ per mole of atoms
Total magnetic moment   0.00 μB/f.u.
DOS(E_F)   0.76 states/eV/atom

=====

Record 5
DFT (GGA-PBE) results for a relaxed Dy3ScTl crystal.

a b c (Å): 12.5442 12.5442 4.7464
angles (deg): 90.00 90.00 158.20
Closest atoms and distances in Å follow each position.
Sites, in units of the cell vectors:
Dy 0.0518 0.9482 0.7500  8 Dy 3.36-3.53, 2 Sc 3.41, 2 Tl 3.43
Dy 0.2500 0.7500 0.7500  4 Dy 3.36, 4 Tl 3.38, 4 Sc 3.40
Dy 0.4458 0.5542 0.7500  8 Dy 3.36-3.57, 2 Sc 3.36, 2 Tl 3.38
Dy 0.5542 0.4458 0.2500  8 Dy 3.36-3.57, 2 Sc 3.36, 2 Tl 3.38
Dy 0.7500 0.2500 0.2500  4 Dy 3.36, 4 Tl 3.38, 4 Sc 3.40
Dy 0.9482 0.0518 0.2500  8 Dy 3.36-3.53, 2 Sc 3.41, 2 Tl 3.43
Sc 0.1510 0.8490 0.2500  4 Tl 3.36, 8 Dy 3.36-3.41
Sc 0.8490 0.1510 0.7500  4 Tl 3.36, 8 Dy 3.36-3.41
Tl 0.3478 0.6522 0.2500  4 Sc 3.36, 8 Dy 3.38-3.43
Tl 0.6522 0.3478 0.7500  4 Sc 3.36, 8 Dy 3.38-3.43

Results
Space-group type   Cmcm, No. 63
Raw total energy   -4.614 eV per atom
ΔE to the lowest computed polymorph   2.3 kJ per mole of atoms
Total magnetic moment   0.00 μB/f.u.
DOS(E_F)   1.15 states/eV/atom

=====

Record 6
DFT (GGA-PBE) results for a relaxed DySc5Tl4 crystal.

a b c (Å): 3.4415 3.4415 20.5930
angles (deg): 90.00 90.00 90.00
Closest atoms and distances in Å follow each position.
Sites, in units of the cell vectors:
Dy 0.0000 0.0000 0.0000  8 Sc 3.38, 4 Dy 3.44
Sc 0.5000 0.5000 0.1141  4 Tl 3.12, 4 Dy 3.38, 4 Sc 3.44
Sc 0.5000 0.5000 0.3058  8 Tl 3.14-3.15, 4 Sc 3.44
Sc 0.5000 0.5000 0.5000  8 Tl 3.15, 4 Sc 3.44
Sc 0.5000 0.5000 0.6942  8 Tl 3.14-3.15, 4 Sc 3.44
Sc 0.5000 0.5000 0.8859  4 Tl 3.12, 4 Dy 3.38, 4 Sc 3.44
Tl 0.0000 0.0000 0.2090  8 Sc 3.12-3.14, 4 Tl 3.44
Tl 0.0000 0.0000 0.4029  8 Sc 3.15, 4 Tl 3.44
Tl 0.0000 0.0000 0.5971  8 Sc 3.15, 4 Tl 3.44
Tl 0.0000 0.0000 0.7910  8 Sc 3.12-3.14, 4 Tl 3.44

Results
Space-group type   P4/mmm, No. 123
Raw total energy   -4.782 eV per atom
ΔE to the lowest computed polymorph   0.0 kJ per mole of atoms
Total magnetic moment   0.59 μB/f.u.
DOS(E_F)   0.80 states/eV/atom

=====

Record 7
DFT (GGA-PBE) results for a relaxed DyScTl2 crystal.

a b c (Å): 3.6360 3.6360 28.4041
angles (deg): 90.00 90.00 120.00
Closest atoms and distances in Å follow each position.
Sites, in units of the cell vectors:
Dy 0.0000 0.0000 0.0000  6 Tl 3.24
Dy 0.3333 0.6667 0.6667  6 Tl 3.24
Dy 0.6667 0.3333 0.3333  6 Tl 3.24
Sc 0.0000 0.0000 0.5000  6 Tl 3.09
Sc 0.3333 0.6667 0.1667  6 Tl 3.09
Sc 0.6667 0.3333 0.8333  6 Tl 3.09
Tl 0.0000 0.0000 0.2464  3 Sc 3.09, 3 Dy 3.24
Tl 0.0000 0.0000 0.7536  3 Sc 3.09, 3 Dy 3.24
Tl 0.3333 0.6667 0.4203  3 Sc 3.09, 3 Dy 3.24
Tl 0.3333 0.6667 0.9130  3 Sc 3.09, 3 Dy 3.24
Tl 0.6667 0.3333 0.0870  3 Sc 3.09, 3 Dy 3.24
Tl 0.6667 0.3333 0.5797  3 Sc 3.09, 3 Dy 3.24

Results
Space-group type   R-3m, No. 166
Raw total energy   -4.129 eV per atom
Total magnetic moment   0.00 μB/f.u.
DOS(E_F)   0.67 states/eV/atom

=====

Record 8
DFT (GGA-PBE) results for a relaxed Dy9Sc2Tl crystal.

a b c (Å): 4.8694 4.8694 14.8544
angles (deg): 90.00 90.00 90.00
Closest atoms and distances in Å follow each position.
Sites, in units of the cell vectors:
Dy 0.0000 0.0000 0.0000  4 Tl 3.44, 8 Dy 3.48
Dy 0.0000 0.0000 0.3325  4 Sc 3.44, 8 Dy 3.46-3.48
Dy 0.0000 0.0000 0.6675  4 Sc 3.44, 8 Dy 3.46-3.48
Dy 0.0000 0.5000 0.1674  8 Dy 3.44-3.48, 2 Sc 3.47, 2 Tl 3.48
Dy 0.0000 0.5000 0.5000  8 Dy 3.44-3.48, 4 Sc 3.46
Dy 0.0000 0.5000 0.8326  8 Dy 3.44-3.48, 2 Sc 3.47, 2 Tl 3.48
Dy 0.5000 0.0000 0.1674  8 Dy 3.44-3.48, 2 Sc 3.47, 2 Tl 3.48
Dy 0.5000 0.0000 0.5000  8 Dy 3.44-3.48, 4 Sc 3.46
Dy 0.5000 0.0000 0.8326  8 Dy 3.44-3.48, 2 Sc 3.47, 2 Tl 3.48
Sc 0.5000 0.5000 0.3342  12 Dy 3.44-3.47
Sc 0.5000 0.5000 0.6658  12 Dy 3.44-3.47
Tl 0.5000 0.5000 0.0000  12 Dy 3.44-3.48

Results
Space-group type   P4/mmm, No. 123
Raw total energy   -4.742 eV per atom
Total magnetic moment   0.00 μB/f.u.
DOS(E_F)   1.20 states/eV/atom

=====

Record 9
DFT (GGA-PBE) results for a relaxed Dy2Sc2Tl7 crystal.

a b c (Å): 6.7156 6.7156 8.1781
angles (deg): 90.00 90.00 117.97
Closest atoms and distances in Å follow each position.
Sites, in units of the cell vectors:
Dy 0.2483 0.2483 0.0000  6 Tl 3.11-3.28, 2 Dy 3.44-3.48
Dy 0.7517 0.7517 0.0000  6 Tl 3.11-3.28, 2 Dy 3.44-3.48
Sc 0.2647 0.7353 0.5000  7 Tl 3.05-3.10
Sc 0.7353 0.2647 0.5000  7 Tl 3.05-3.10
Tl 0.0000 0.0000 0.5000  2 Sc 3.05
Tl 0.0000 0.5000 0.1931  2 Sc 3.05, 1 Tl 3.16, 2 Dy 3.28
Tl 0.0000 0.5000 0.8069  2 Sc 3.05, 1 Tl 3.16, 2 Dy 3.28
Tl 0.5000 0.0000 0.1931  2 Sc 3.05, 1 Tl 3.16, 2 Dy 3.28
Tl 0.5000 0.0000 0.8069  2 Sc 3.05, 1 Tl 3.16, 2 Dy 3.28
Tl 0.5000 0.5000 0.3154  1 Tl 3.02, 2 Sc 3.10, 2 Dy 3.11
Tl 0.5000 0.5000 0.6846  1 Tl 3.02, 2 Sc 3.10, 2 Dy 3.11

Results
Space-group type   Cmmm, No. 65
Raw total energy   -3.432 eV per atom
Total magnetic moment   0.00 μB/f.u.
DOS(E_F)   0.66 states/eV/atom

=====

Record 10
DFT (GGA-PBE) results for a relaxed Dy2ScTl crystal.

a b c (Å): 7.5835 7.5835 7.5835
angles (deg): 90.00 90.00 90.00
Closest atoms and distances in Å follow each position.
Sites, in units of the cell vectors:
Dy 0.2500 0.2500 0.2500  4 Tl 3.28, 4 Sc 3.28
Dy 0.2500 0.2500 0.7500  4 Tl 3.28, 4 Sc 3.28
Dy 0.2500 0.7500 0.2500  4 Tl 3.28, 4 Sc 3.28
Dy 0.2500 0.7500 0.7500  4 Tl 3.28, 4 Sc 3.28
Dy 0.7500 0.2500 0.2500  4 Tl 3.28, 4 Sc 3.28
Dy 0.7500 0.2500 0.7500  4 Tl 3.28, 4 Sc 3.28
Dy 0.7500 0.7500 0.2500  4 Tl 3.28, 4 Sc 3.28
Dy 0.7500 0.7500 0.7500  4 Tl 3.28, 4 Sc 3.28
Sc 0.0000 0.0000 0.0000  8 Dy 3.28
Sc 0.0000 0.5000 0.5000  8 Dy 3.28
Sc 0.5000 0.0000 0.5000  8 Dy 3.28
Sc 0.5000 0.5000 0.0000  8 Dy 3.28
Tl 0.0000 0.0000 0.5000  8 Dy 3.28
Tl 0.0000 0.5000 0.0000  8 Dy 3.28
Tl 0.5000 0.0000 0.0000  8 Dy 3.28
Tl 0.5000 0.5000 0.5000  8 Dy 3.28

Results
Space-group type   Fm-3m, No. 225
Raw total energy   -4.532 eV per atom
ΔE to the lowest computed polymorph   12.4 kJ per mole of atoms
Total magnetic moment   1.39 μB/f.u.
DOS(E_F)   1.43 states/eV/atom

=====

Record 11
DFT (GGA-PBE) results for a relaxed DySc6Tl3 crystal.

a b c (Å): 8.0777 8.0777 8.0506
angles (deg): 90.00 90.00 96.35
Closest atoms and distances in Å follow each position.
Sites, in units of the cell vectors:
Dy 0.1865 0.8135 0.5000  2 Tl 3.16-3.42, 5 Sc 3.40-3.52
Dy 0.8135 0.1865 0.0000  2 Tl 3.16-3.42, 5 Sc 3.40-3.52
Sc 0.0792 0.4389 0.3130  3 Tl 3.05-3.15, 4 Sc 3.22-3.37, 1 Dy 3.40
Sc 0.0969 0.2334 0.6669  4 Tl 2.85-3.05, 1 Sc 3.08
Sc 0.2334 0.0969 0.1669  4 Tl 2.85-3.05, 1 Sc 3.08
Sc 0.2706 0.7294 0.0882  3 Tl 2.87-2.92, 2 Sc 3.08
Sc 0.4389 0.0792 0.8130  3 Tl 3.05-3.15, 4 Sc 3.22-3.37, 1 Dy 3.40
Sc 0.4674 0.5326 0.6951  4 Tl 3.07-3.13, 1 Sc 3.27
Sc 0.5326 0.4674 0.1951  4 Tl 3.07-3.13, 1 Sc 3.27
Sc 0.5611 0.9208 0.3130  3 Tl 3.05-3.15, 4 Sc 3.22-3.37, 1 Dy 3.40
Sc 0.7294 0.2706 0.5882  3 Tl 2.87-2.92, 2 Sc 3.08
Sc 0.7666 0.9031 0.6669  4 Tl 2.85-3.05, 1 Sc 3.08
Sc 0.9031 0.7666 0.1669  4 Tl 2.85-3.05, 1 Sc 3.08
Sc 0.9208 0.5611 0.8130  3 Tl 3.05-3.15, 4 Sc 3.22-3.37, 1 Dy 3.40
Tl 0.0821 0.9179 0.8599  7 Sc 2.92-3.05, 1 Dy 3.16
Tl 0.2216 0.3940 0.9645  7 Sc 2.85-3.15
Tl 0.3940 0.2216 0.4645  7 Sc 2.85-3.15
Tl 0.6060 0.7784 0.9645  7 Sc 2.85-3.15
Tl 0.7784 0.6060 0.4645  7 Sc 2.85-3.15
Tl 0.9179 0.0821 0.3599  7 Sc 2.92-3.05, 1 Dy 3.16

Results
Space-group type   Cmc2_1, No. 36
Raw total energy   -5.066 eV per atom
Total magnetic moment   0.01 μB/f.u.
DOS(E_F)   1.61 states/eV/atom

=====

Record 12
DFT (GGA-PBE) results for a relaxed Dy8ScTl2 crystal.

a b c (Å): 8.7535 8.7535 5.5226
angles (deg): 101.76 101.76 119.48
Closest atoms and distances in Å follow each position.
Sites, in units of the cell vectors:
Dy 0.0957 0.3205 0.6167  2 Tl 3.15-3.37, 4 Dy 3.36-3.49
Dy 0.2122 0.7878 0.0000  2 Tl 3.10, 1 Sc 3.21
Dy 0.3205 0.0957 0.6167  2 Tl 3.15-3.37, 4 Dy 3.36-3.49
Dy 0.3910 0.3910 0.2012  3 Dy 3.08-3.42, 1 Sc 3.17, 2 Tl 3.32
Dy 0.6090 0.6090 0.7988  3 Dy 3.08-3.42, 1 Sc 3.17, 2 Tl 3.32
Dy 0.6795 0.9043 0.3833  2 Tl 3.15-3.37, 4 Dy 3.36-3.49
Dy 0.7878 0.2122 0.0000  2 Tl 3.10, 1 Sc 3.21
Dy 0.9043 0.6795 0.3833  2 Tl 3.15-3.37, 4 Dy 3.36-3.49
Sc 0.0000 0.0000 0.0000  4 Dy 3.17-3.21
Tl 0.3055 0.6945 0.5000  8 Dy 3.10-3.37
Tl 0.6945 0.3055 0.5000  8 Dy 3.10-3.37

Results
Space-group type   C2/m, No. 12
Raw total energy   -4.358 eV per atom
Total magnetic moment   0.00 μB/f.u.
DOS(E_F)   1.32 states/eV/atom